Entry 1:
VASP calculation (PBE) on a relaxed VTeRuPt2 crystal.

Cell lengths 4.7609, 4.7609, 4.3821 Å; angles 90.00, 90.00, 90.00 degrees
Last column: nearest neighbours and their distance in Å.
Space group P4/mmm (No. 123)
One atom of each set of equivalent atoms:
V 0.0000 0.0000 0.0000 [1 per cell]  2 Ru 2.19, 4 Pt 2.38
Te 0.5000 0.5000 0.5000 [1 per cell]  8 Pt 3.24, 4 Ru 3.37
Ru 0.0000 0.0000 0.5000 [1 per cell]  2 V 2.19
Pt 0.0000 0.5000 0.0000 [2 per cell]  2 V 2.38

Formation energy without anion corrections in meV per atom: 773
VASP energy in eV per atom: -5.951


Entry 2:
VASP calculation (PBE) on a relaxed ReAs crystal.

Cell lengths 4.1075, 4.1075, 16.9286 Å; angles 90.00, 90.00, 120.00 degrees
Last column: nearest neighbours and their distance in Å.
Space group R-3m (No. 166, hexagonal axes)
One atom of each set of equivalent atoms:
Re 0.0000 0.0000 0.1500 [6 per cell]  3 Re 2.44, 3 As 2.71
As 0.0000 0.0000 0.4054 [6 per cell]  6 Re 2.71-3.03

ΔE_f in eV per atom: 0.625
VASP energy in eV per atom: -7.923